This record from Alexandria via LeMat-Bulk describes a relaxed structure of Y8Er. The functional is PBE.

```
Y8Er
1.0
-3.402 0.232 -3.702
-1.393 -7.406 -2.606
-7.269 -0.621 3.219
Y Er
8 1
Cartesian
-7.121 -0.260 -0.316 Y
-1.599 -2.381 -2.102 Y
-6.911 -5.278 -0.823 Y
-3.549 -0.129 -0.168 Y
-5.313 -2.879 1.280 Y
-3.196 -4.793 -4.207 Y
-3.348 -5.148 -0.668 Y
-5.152 -2.516 -2.267 Y
0.000 0.000 0.000 Er
```

Calculated values
DFT total energy   -56.1 eV per cell
Symmetry   I4/mmm
Total magnetization   0.0 μB/cell
Crystal system   tetragonal
ΔH_f (0 K)   0.025 eV/atom